(1)
Density functional theory data (PBE) for an optimized crystal structure of La2NdHoS4.

Values from the calculation:
E_form (uncorrected) = -2083 meV/atom
symmetry = P2/m (10)

Lattice parameters (Å, degrees): 4.0308 7.0524 7.0835 109.08 90.00 90.00
Fractional positions:
S  0.5000  0.2357  0.2325
Nd  0.5000  0.5000  0.0000
La  0.5000  0.0000  0.5000
S  0.0000  0.2452  0.7613
Ho  0.0000  0.0000  0.0000
La  0.0000  0.5000  0.5000
S  0.0000  0.7548  0.2387
S  0.5000  0.7643  0.7675

(2)
Density functional theory data (PBE) for an optimized crystal structure of La3NdHo2S6.

Values from the calculation:
E_form (uncorrected) = -2085 meV/atom
symmetry = C2/m (12)

Lattice parameters (Å, degrees): 6.9946 6.9946 7.0598 99.52 99.52 120.10
Fractional positions:
Nd  0.0000  0.0000  0.0000
S  0.7334  0.7334  0.2307
S  0.9220  0.5786  0.7658
La  0.5000  0.5000  0.5000
La  0.1630  0.8370  0.5000
S  0.0780  0.4214  0.2342
S  0.5786  0.9220  0.7658
Ho  0.3334  0.6666  0.0000
La  0.8370  0.1630  0.5000
S  0.2666  0.2666  0.7693
Ho  0.6666  0.3334  0.0000
S  0.4214  0.0780  0.2342

(3)
Density functional theory data (PBE) for an optimized crystal structure of LaNd2HoS4.

Values from the calculation:
E_form (uncorrected) = -2040 meV/atom
symmetry = P2/m (10)

Lattice parameters (Å, degrees): 4.0085 7.0600 7.0114 109.00 90.00 90.00
Fractional positions:
Nd  0.5000  0.0000  0.5000
La  0.0000  0.0000  0.0000
Nd  0.0000  0.5000  0.5000
S  0.0000  0.7359  0.2388
S  0.5000  0.7403  0.7532
S  0.0000  0.2641  0.7612
Ho  0.5000  0.5000  0.0000
S  0.5000  0.2597  0.2468

(4)
Density functional theory data (PBE) for an optimized crystal structure of La3Nd2HoS6.

Values from the calculation:
E_form (uncorrected) = -2093 meV/atom
symmetry = C2/m (12)

Lattice parameters (Å, degrees): 7.0685 7.0685 7.0784 99.60 99.60 120.10
Fractional positions:
S  0.0790  0.4023  0.2377
La  0.1703  0.8297  0.5000
S  0.9210  0.5977  0.7623
Ho  0.0000  0.0000  0.0000
La  0.8297  0.1703  0.5000
La  0.5000  0.5000  0.5000
S  0.5977  0.9210  0.7623
Nd  0.6667  0.3333  0.0000
S  0.4023  0.0790  0.2377
S  0.7572  0.7572  0.2412
Nd  0.3333  0.6667  0.0000
S  0.2428  0.2428  0.7588

In the order shown, the computed M_tot values come out to 0.00; 0.00; 0.00; 0.00 μB per formula unit.